# Na4HgBr6

A relaxed structure of Na4HgBr6 (PBE, Alexandria).

a = 14.0213 Å, b = 8.2089 Å, c = 14.0878 Å
α = 90.00°, β = 112.00°, γ = 90.00°
Space group Cc (No. 9)
Symmetry-distinct sites (fractional):
1 Na 0.0000 0.1091 0.0000
2 Na 0.0499 0.3880 0.3424
3 Na 0.1591 0.1224 0.7778
4 Na 0.3022 0.3495 0.1688
5 Hg 0.2620 0.1892 0.5707
6 Br 0.0590 0.2313 0.5413
7 Br 0.1254 0.2128 0.2034
8 Br 0.2861 0.4621 0.4760
9 Br 0.2914 0.0915 0.0051
10 Br 0.3444 0.2892 0.7656
11 Br 0.4929 0.2283 0.3193

Results
Uncorrected energy = -28.99 eV per formula unit
Formation energy (no corrections) = -1.2155 eV/atom

# Na2HgBr4

A relaxed structure of Na2HgBr4 (PBE, Alexandria).

a = 5.6729 Å, b = 5.6729 Å, c = 14.8947 Å
α = 90.00°, β = 90.00°, γ = 90.00°
Space group I4/mmm (No. 139)
Symmetry-distinct sites (fractional):
1 Na 0.0000 0.0000 0.1286
2 Hg 0.0000 0.0000 0.5000
3 Br 0.0000 0.0000 0.3180
4 Br 0.0000 0.5000 0.0000

Results
Uncorrected energy = -16.11 eV per formula unit
Formation energy (no corrections) = -0.9254 eV/atom

# Na2Hg3Br8

A relaxed structure of Na2Hg3Br8 (PBE, Alexandria).

a = 13.3692 Å, b = 10.0666 Å, c = 6.8348 Å
α = 90.00°, β = 98.98°, γ = 90.00°
Space group C2/m (No. 12)
Symmetry-distinct sites (fractional):
1 Na 0.1927 0.0000 0.4621
2 Hg 0.0000 0.2017 0.0000
3 Hg 0.0000 0.5000 0.5000
4 Br 0.1124 0.0000 0.8365
5 Br 0.1269 0.2692 0.3073
6 Br 0.1407 0.5000 0.7871

Results
Uncorrected energy = -26.82 eV per formula unit
Formation energy (no corrections) = -0.7614 eV/atom

# Na2Hg4Br9

A relaxed structure of Na2Hg4Br9 (PBE, Alexandria).

a = 7.4510 Å, b = 7.5431 Å, c = 21.0598 Å
α = 81.01°, β = 87.60°, γ = 61.32°
Space group P-1 (No. 2)
Symmetry-distinct sites (fractional):
1 Na 0.0251 0.2591 0.1529
2 Na 0.0500 0.1119 0.3482
3 Hg 0.2865 0.0252 0.9393
4 Hg 0.3071 0.1219 0.7035
5 Hg 0.3427 0.3092 0.4997
6 Hg 0.3704 0.5745 0.1819
7 Br 0.0294 0.9004 0.2451
8 Br 0.0434 0.6229 0.0838
9 Br 0.0638 0.4101 0.4164
10 Br 0.2821 0.4617 0.7350
11 Br 0.2852 0.9847 0.5921
12 Br 0.3313 0.2083 0.2506
13 Br 0.3421 0.6749 0.9135
14 Br 0.3571 0.9483 0.0784
15 Br 0.3835 0.7210 0.4262

Results
Uncorrected energy = -28.85 eV per formula unit
Formation energy (no corrections) = -0.6632 eV/atom

# NaHgBr3

A relaxed structure of NaHgBr3 (PBE, Alexandria).

a = 5.5103 Å, b = 5.5103 Å, c = 5.5103 Å
α = 90.00°, β = 90.00°, γ = 90.00°
Space group Pm-3m (No. 221)
Symmetry-distinct sites (fractional):
1 Na 0.0000 0.0000 0.0000
2 Hg 0.5000 0.5000 0.5000
3 Br 0.0000 0.0000 0.5000

Results
Uncorrected energy = -7.93 eV per formula unit
Formation energy (no corrections) = -0.2582 eV/atom

# Na2Hg2Br

A relaxed structure of Na2Hg2Br (PBE, Alexandria).

a = 7.8884 Å, b = 7.8884 Å, c = 5.0263 Å
α = 90.00°, β = 90.00°, γ = 90.00°
Space group P4/mbm (No. 127)
Symmetry-distinct sites (fractional):
1 Na 0.1723 0.3277 0.0000
2 Hg 0.1397 0.6397 0.5000
3 Br 0.0000 0.0000 0.0000

Results
Uncorrected energy = -7.66 eV per formula unit
Formation energy (no corrections) = -0.5490 eV/atom

# NaHg2Br

A relaxed structure of NaHg2Br (PBE, Alexandria).

a = 9.4842 Å, b = 9.4842 Å, c = 5.8816 Å
α = 90.00°, β = 90.00°, γ = 90.00°
Space group I-42d (No. 122)
Symmetry-distinct sites (fractional):
1 Na 0.0000 0.0000 0.0000
2 Hg 0.2238 0.2500 0.1250
3 Br 0.0000 0.0000 0.5000

Results
Uncorrected energy = -5.79 eV per formula unit
Formation energy (no corrections) = -0.5494 eV/atom

# Na2HgBr2

A relaxed structure of Na2HgBr2 (PBE, Alexandria).

a = 5.7619 Å, b = 5.7619 Å, c = 12.8814 Å
α = 90.00°, β = 90.00°, γ = 90.00°
Space group I4/mmm (No. 139)
Symmetry-distinct sites (fractional):
1 Na 0.0000 0.0000 0.2343
2 Hg 0.0000 0.0000 0.5000
3 Br 0.0000 0.5000 0.2500

Results
Uncorrected energy = -11.88 eV per formula unit
Formation energy (no corrections) = -1.1185 eV/atom

# Na2HgBr4

A relaxed structure of Na2HgBr4 (PBE, Alexandria).

a = 14.8542 Å, b = 8.5673 Å, c = 14.8444 Å
α = 90.00°, β = 109.51°, γ = 90.00°
Space group C2/c (No. 15)
Symmetry-distinct sites (fractional):
1 Na 0.0000 0.0000 0.0000
2 Na 0.0000 0.2486 0.2500
3 Na 0.0000 0.5000 0.0000
4 Na 0.2500 0.2500 0.5000
5 Hg 0.1875 0.2505 0.8125
6 Br 0.1199 0.2496 0.1235
7 Br 0.1233 0.0063 0.3770
8 Br 0.1234 0.2501 0.6198
9 Br 0.1229 0.4927 0.3766

Results
Uncorrected energy = -17.11 eV per formula unit
Formation energy (no corrections) = -1.0689 eV/atom

# NaHg2Br

A relaxed structure of NaHg2Br (PBE, Alexandria).

a = 7.9810 Å, b = 7.9810 Å, c = 7.9810 Å
α = 90.00°, β = 90.00°, γ = 90.00°
Space group Fm-3m (No. 225)
Symmetry-distinct sites (fractional):
1 Na 0.0000 0.0000 0.0000
2 Hg 0.2500 0.2500 0.2500
3 Br 0.0000 0.0000 0.5000

Results
Uncorrected energy = -5.27 eV per formula unit
Formation energy (no corrections) = -0.4193 eV/atom

Look up the uncorrected energy of the eighth one.
-11.88 eV per formula unit

What is the formation energy (no corrections) in the eighth record?
-1.1185 eV/atom

What did the first record say?
# Na4HgBr6

A relaxed structure of Na4HgBr6 (PBE, Alexandria).

a = 14.0213 Å, b = 8.2089 Å, c = 14.0878 Å
α = 90.00°, β = 112.00°, γ = 90.00°
Space group Cc (No. 9)
Symmetry-distinct sites (fractional):
1 Na 0.0000 0.1091 0.0000
2 Na 0.0499 0.3880 0.3424
3 Na 0.1591 0.1224 0.7778
4 Na 0.3022 0.3495 0.1688
5 Hg 0.2620 0.1892 0.5707
6 Br 0.0590 0.2313 0.5413
7 Br 0.1254 0.2128 0.2034
8 Br 0.2861 0.4621 0.4760
9 Br 0.2914 0.0915 0.0051
10 Br 0.3444 0.2892 0.7656
11 Br 0.4929 0.2283 0.3193

Results
Uncorrected energy = -28.99 eV per formula unit
Formation energy (no corrections) = -1.2155 eV/atom